1.
Here is a geometry-optimized MgInMo2 structure from the Alexandria database. Energies are from PBEsol.

a b c (Å): 3.5523 3.5523 5.8149
angles (deg): 90.00 90.00 90.00
Last column: nearest neighbours and their distance in Å.
Sites, in units of the cell vectors:
In 0.5000 0.5000 0.0000  8 Mo 2.78, 2 Mg 2.91
Mo 0.0000 0.0000 0.2040  1 Mo 2.37
Mo 0.0000 0.0000 0.7960  1 Mo 2.37
Mg 0.5000 0.5000 0.5000  2 In 2.91, 8 Mo 3.04

- Electronic total energy: -6.5174 eV per atom
- Crystal system: tetragonal
- Symmetry: P4/mmm (123)
- Formation energy from the elements: 0.5416 eV per atom



2.
Here is a geometry-optimized MgIn2Mo structure from the Alexandria database. Energies are from PBEsol.

a b c (Å): 4.7816 4.7816 4.7816
angles (deg): 60.00 60.00 60.00
Last column: nearest neighbours and their distance in Å.
Sites, in units of the cell vectors:
Mo 0.2500 0.2500 0.2500  4 Mg 2.93, 4 In 2.93
In 0.0000 0.0000 0.0000  4 In 2.93, 4 Mo 2.93
Mg 0.5000 0.5000 0.5000  4 In 2.93, 4 Mo 2.93
In 0.7500 0.7500 0.7500  4 In 2.93, 4 Mg 2.93

- Electronic total energy: -4.2929 eV per atom
- Crystal system: cubic
- Symmetry: F-43m (216)
- Formation energy from the elements: 0.5698 eV per atom



3.
Here is a geometry-optimized MgInMo2 structure from the Alexandria database. Energies are from PBEsol.

a b c (Å): 4.5649 4.5649 4.5649
angles (deg): 60.00 60.00 60.00
Last column: nearest neighbours and their distance in Å.
Sites, in units of the cell vectors:
Mg 0.2500 0.2500 0.2500  4 In 2.80, 4 Mo 2.80
Mo 0.7500 0.7500 0.7500  4 In 2.80, 4 Mo 2.80
Mo 0.0000 0.0000 0.0000  4 Mg 2.80, 4 Mo 2.80
In 0.5000 0.5000 0.5000  4 Mo 2.80, 4 Mg 2.80

- Electronic total energy: -6.7736 eV per atom
- Crystal system: cubic
- Symmetry: F-43m (216)
- Formation energy from the elements: 0.2853 eV per atom